# 1
# MoSe2Br | Alexandria | PBE-GGA | optimized geometry
data_MoSe2Br
_cell_length_a 3.3012
_cell_length_b 3.3012
_cell_length_c 9.8747
_cell_angle_alpha 80.37
_cell_angle_beta 80.37
_cell_angle_gamma 59.97
_space_group_name_H-M_alt 'P 1'
_space_group_IT_number 1
loop_
_space_group_symop_operation_xyz
'x,y,z'
loop_
_atom_site_label
_atom_site_type_symbol
_atom_site_fract_x
_atom_site_fract_y
_atom_site_fract_z
_atom_site_occupancy
Se1 Se 0.0243 0.0243 0.9267 1
Se2 Se 0.4757 0.4757 0.5733 1
Br1 Br 0.2500 0.2500 0.2500 1
Mo1 Mo 0.7500 0.7500 0.7500 1
# SG ... R-3m
# Raw formation energy ... -0.26 eV/atom
# ΔE to the lowest computed polymorph ... 0.026 eV per atom

---

# 2
# TmPuGa4 | Alexandria | PBE-GGA | optimized geometry
data_TmPuGa4
_cell_length_a 5.5007
_cell_length_b 5.5007
_cell_length_c 5.5007
_cell_angle_alpha 60.00
_cell_angle_beta 60.00
_cell_angle_gamma 60.00
_space_group_name_H-M_alt 'P 1'
_space_group_IT_number 1
loop_
_space_group_symop_operation_xyz
'x,y,z'
loop_
_atom_site_label
_atom_site_type_symbol
_atom_site_fract_x
_atom_site_fract_y
_atom_site_fract_z
_atom_site_occupancy
Pu1 Pu 0.2500 0.2500 0.2500 1
Ga1 Ga 0.6247 0.6247 0.6247 1
Tm1 Tm 0.0000 0.0000 0.0000 1
Ga2 Ga 0.1258 0.6247 0.6247 1
Ga3 Ga 0.6247 0.1258 0.6247 1
Ga4 Ga 0.6247 0.6247 0.1258 1
# SG ... F-43m
# Energy of formation from the pure elements ... -417 meV/atom
# ΔE to the lowest computed polymorph ... 0.060 eV per atom